No. 1
Entry from Alexandria: SrLaIn2Tc after structural relaxation (GGA-PBE).

CIF file:
```
data_SrLaIn2Tc
_chemical_formula_sum 'Sr1 La1 In2 Tc1'
_symmetry_space_group_name_H-M 'P 4/m m m'
_symmetry_Int_Tables_number 123
_symmetry_space_group_name_Hall '-P 4 2'
_cell_length_a 5.328
_cell_length_b 5.328
_cell_length_c 5.287
_cell_angle_alpha 90.00
_cell_angle_beta 90.00
_cell_angle_gamma 90.00
loop_
_atom_site_label
_atom_site_type_symbol
_atom_site_fract_x
_atom_site_fract_y
_atom_site_fract_z
Sr1 Sr 0.000 0.000 0.000
La1 La 0.500 0.500 0.000
In1 In 0.000 0.500 0.500
Tc1 Tc 0.000 0.000 0.500
```

Computed properties:
E_form	20	kJ/mol of atoms
spin magnetization	0.000	μB per cell

=====

No. 2
Entry from Alexandria: MnTl2In2Br6 after structural relaxation (GGA-PBE).

CIF file:
```
data_MnTl2In2Br6
_chemical_formula_sum 'Mn2 Tl4 In4 Br12'
_symmetry_space_group_name_H-M 'C 1 2/m 1'
_symmetry_Int_Tables_number 12
_symmetry_space_group_name_Hall '-C 2y'
_cell_length_a 8.558
_cell_length_b 12.467
_cell_length_c 7.859
_cell_angle_alpha 90.00
_cell_angle_beta 106.10
_cell_angle_gamma 90.00
loop_
_atom_site_label
_atom_site_type_symbol
_atom_site_fract_x
_atom_site_fract_y
_atom_site_fract_z
Mn1 Mn 0.000 0.000 0.000
Tl1 Tl 0.000 0.191 0.500
In1 In 0.000 0.353 0.000
Br1 Br 0.172 0.000 0.758
Br2 Br 0.199 0.154 0.195
```

Computed properties:
formation energy (no corrections)	-751	meV per atom
spin magnetization	10.021	μB per cell

=====

No. 3
Entry from Alexandria: LiHN2O after structural relaxation (GGA-PBE).

CIF file:
```
data_LiHN2O
_chemical_formula_sum 'Li1 H1 N2 O1'
_symmetry_space_group_name_H-M 'P 4/m m m'
_symmetry_Int_Tables_number 123
_symmetry_space_group_name_Hall '-P 4 2'
_cell_length_a 4.306
_cell_length_b 4.306
_cell_length_c 3.500
_cell_angle_alpha 90.00
_cell_angle_beta 90.00
_cell_angle_gamma 90.00
loop_
_atom_site_label
_atom_site_type_symbol
_atom_site_fract_x
_atom_site_fract_y
_atom_site_fract_z
Li1 Li 0.000 0.000 0.000
H1 H 0.500 0.500 0.500
N1 N 0.000 0.500 0.000
O1 O 0.000 0.000 0.500
```

Computed properties:
total DFT energy (no corrections)	-3.133	eV per atom
spin magnetization	3.982	μB per cell